Record 1
RbCuPdW | PBE-GGA | relaxed

Output
- Calculated total energy: -16.77 eV per cell
- Energy above the most stable polymorph in this dataset: 31 meV per atom

Lattice parameters (Å, degrees): 4.6700 4.6700 4.6700 60.00 60.00 60.00
Fractional coordinates of all 4 atoms:
Rb  0.0000  0.0000  0.0000
Cu  0.7500  0.7500  0.7500
Pd  0.5000  0.5000  0.5000
W  0.2500  0.2500  0.2500


Record 2
CoSbIrW | PBE-GGA | relaxed

Output
- Calculated total energy: -31.61 eV per cell
- Energy above the most stable polymorph in this dataset: 0 meV per atom

Lattice parameters (Å, degrees): 4.4377 4.4377 4.4377 60.00 60.00 60.00
Fractional coordinates of all 4 atoms:
Co  0.0000  0.0000  0.0000
Sb  0.7500  0.7500  0.7500
Ir  0.2500  0.2500  0.2500
W  0.5000  0.5000  0.5000


Record 3
RbPmO3 | PBE-GGA | relaxed

Output
- Calculated total energy: -58.78 eV per cell

Lattice parameters (Å, degrees): 6.4366 6.4366 6.4366 60.08 60.08 60.08
Fractional coordinates of all 10 atoms:
Rb  0.2500  0.2500  0.2500
Rb  0.7500  0.7500  0.7500
Pm  0.0000  0.0000  0.0000
Pm  0.5000  0.5000  0.5000
O  0.2184  0.7500  0.2816
O  0.2500  0.7184  0.7816
O  0.2816  0.2184  0.7500
O  0.7184  0.7816  0.2500
O  0.7500  0.2816  0.2184
O  0.7816  0.2500  0.7184


Record 4
TmHfPa | PBE-GGA | relaxed

Output
- Calculated total energy: -21.22 eV per cell
- Energy above the most stable polymorph in this dataset: 0 meV per atom
- Energy relative to the elements: 903 meV per atom

Lattice parameters (Å, degrees): 4.9879 4.9879 4.9879 60.00 60.00 60.00
Fractional coordinates of all 3 atoms:
Tm  0.0000  0.0000  0.0000
Hf  0.7500  0.7500  0.7500
Pa  0.5000  0.5000  0.5000


Record 5
CsLaFeSe3 | PBE-GGA | relaxed

Output
- Calculated total energy: -64.06 eV per cell

Lattice parameters (Å, degrees): 9.3210 4.2886 10.9665 90.00 110.46 90.00
Fractional coordinates of all 12 atoms:
Cs  0.2391  0.2500  0.2077
Cs  0.7609  0.7500  0.7923
La  0.1862  0.7500  0.6430
La  0.8138  0.2500  0.3570
Fe  0.4316  0.2500  0.9139
Fe  0.5684  0.7500  0.0861
Se  0.0360  0.7500  0.3555
Se  0.2967  0.7500  0.9450
Se  0.4258  0.2500  0.6912
Se  0.5742  0.7500  0.3088
Se  0.7033  0.2500  0.0550
Se  0.9640  0.2500  0.6445


Record 6
Cd2N3 | PBE-GGA | relaxed

Output
- Calculated total energy: -35.41 eV per cell

Lattice parameters (Å, degrees): 5.8479 5.8479 5.8479 58.15 58.15 58.15
Fractional coordinates of all 10 atoms:
Cd  0.1412  0.1412  0.1412
Cd  0.3588  0.3588  0.3588
Cd  0.6412  0.6412  0.6412
Cd  0.8588  0.8588  0.8588
N  0.0378  0.7500  0.4622
N  0.2500  0.5378  0.9622
N  0.4622  0.0378  0.7500
N  0.5378  0.9622  0.2500
N  0.7500  0.4622  0.0378
N  0.9622  0.2500  0.5378


Record 7
PrNbPb | PBE-GGA | relaxed

Output
- Calculated total energy: -17.12 eV per cell
- Energy above the most stable polymorph in this dataset: 0 meV per atom

Lattice parameters (Å, degrees): 5.0231 5.0231 5.0231 60.00 60.00 60.00
Fractional coordinates of all 3 atoms:
Pr  0.0000  0.0000  0.0000
Nb  0.5000  0.5000  0.5000
Pb  0.7500  0.7500  0.7500


Record 8
LuNbCo2Sb2 | PBE-GGA | relaxed

Output
- Calculated total energy: -81.22 eV per cell

Lattice parameters (Å, degrees): 4.2964 8.6100 6.0888 90.00 90.00 90.00
Fractional coordinates of all 12 atoms:
Lu  0.0000  0.1242  0.0000
Lu  0.5000  0.8758  0.5000
Nb  0.0000  0.6234  0.0133
Nb  0.5000  0.3766  0.5133
Co  0.0000  0.3870  0.2700
Co  0.0000  0.8545  0.2373
Co  0.5000  0.1455  0.7373
Co  0.5000  0.6130  0.7700
Sb  0.0000  0.1288  0.4978
Sb  0.0000  0.6235  0.5169
Sb  0.5000  0.3765  0.0169
Sb  0.5000  0.8712  0.9978